1.
The following is a PBE calculation of CaPmYRu after structural relaxation, from Alexandria via LeMat-Bulk.

```
data_CaPmYRu
_symmetry_space_group_name_H-M 'P 1'
_symmetry_Int_Tables_number 1
_symmetry_space_group_name_Hall 'P 1'
_cell_length_a 5.2202
_cell_length_b 5.2202
_cell_length_c 5.2202
_cell_angle_alpha 60.00
_cell_angle_beta 60.00
_cell_angle_gamma 60.00
loop_
_atom_site_label
_atom_site_fract_x
_atom_site_fract_y
_atom_site_fract_z
_atom_site_occupancy
Ca1 0.0000 0.0000 0.0000 1
Pm1 0.2500 0.2500 0.2500 1
Y1 0.7500 0.7500 0.7500 1
Ru1 0.5000 0.5000 0.5000 1
```

Calculated volume: 25.1 A^3/atom
DFT formation energy: 0.36 eV per formula unit
SG: F-43m, No. 216


2.
The following is a PBE calculation of Nd3SbAsCl after structural relaxation, from Alexandria via LeMat-Bulk.

```
data_Nd3SbAsCl
_symmetry_space_group_name_H-M 'P 1'
_symmetry_Int_Tables_number 1
_symmetry_space_group_name_Hall 'P 1'
_cell_length_a 8.6644
_cell_length_b 4.3752
_cell_length_c 9.6445
_cell_angle_alpha 90.00
_cell_angle_beta 102.88
_cell_angle_gamma 90.00
loop_
_atom_site_label
_atom_site_fract_x
_atom_site_fract_y
_atom_site_fract_z
_atom_site_occupancy
Nd1 0.0751 0.2500 0.3485 1
Nd2 0.2267 0.2500 0.9911 1
Nd3 0.3942 0.7500 0.6304 1
Nd4 0.6058 0.2500 0.3696 1
Nd5 0.7733 0.7500 0.0089 1
Nd6 0.9249 0.7500 0.6515 1
Sb1 0.3177 0.7500 0.2761 1
Sb2 0.6823 0.2500 0.7239 1
As1 0.1615 0.2500 0.6602 1
As2 0.8385 0.7500 0.3398 1
Cl1 0.3985 0.7500 0.9192 1
Cl2 0.6015 0.2500 0.0808 1
```

Calculated volume: 29.7 A^3/atom
SG: P2_1/m, No. 11
Formation energy from raw total energies: -1.30 eV per atom


3.
The following is a PBE calculation of LiHoIrPb after structural relaxation, from Alexandria via LeMat-Bulk.

```
data_LiHoIrPb
_symmetry_space_group_name_H-M 'P 1'
_symmetry_Int_Tables_number 1
_symmetry_space_group_name_Hall 'P 1'
_cell_length_a 4.7946
_cell_length_b 4.7946
_cell_length_c 4.7946
_cell_angle_alpha 60.00
_cell_angle_beta 60.00
_cell_angle_gamma 60.00
loop_
_atom_site_label
_atom_site_fract_x
_atom_site_fract_y
_atom_site_fract_z
_atom_site_occupancy
Li1 0.0000 0.0000 0.0000 1
Ho1 0.2500 0.2500 0.2500 1
Ir1 0.5000 0.5000 0.5000 1
Pb1 0.7500 0.7500 0.7500 1
```

Calculated volume: 19.5 A^3/atom
DFT formation energy: -1.88 eV per formula unit
SG: F-43m, No. 216


4.
The following is a PBE calculation of Pm6As3P2I after structural relaxation, from Alexandria via LeMat-Bulk.

```
data_Pm6As3P2I
_symmetry_space_group_name_H-M 'P 1'
_symmetry_Int_Tables_number 1
_symmetry_space_group_name_Hall 'P 1'
_cell_length_a 9.4541
_cell_length_b 9.4541
_cell_length_c 8.5566
_cell_angle_alpha 102.44
_cell_angle_beta 102.44
_cell_angle_gamma 25.83
loop_
_atom_site_label
_atom_site_fract_x
_atom_site_fract_y
_atom_site_fract_z
_atom_site_occupancy
Pm1 0.0049 0.0049 0.2799 1
Pm2 0.3219 0.3219 0.9011 1
Pm3 0.3308 0.3308 0.4209 1
Pm4 0.6692 0.6692 0.5791 1
Pm5 0.6781 0.6781 0.0989 1
Pm6 0.9951 0.9951 0.7201 1
As1 0.1614 0.1614 0.8350 1
As2 0.5000 0.5000 0.5000 1
As3 0.8386 0.8386 0.1650 1
P1 0.1676 0.1676 0.3334 1
P2 0.8324 0.8324 0.6666 1
I1 0.5000 0.5000 0.0000 1
```

Calculated volume: 27.1 A^3/atom
SG: C2/m, No. 12
Formation energy from raw total energies: -1.46 eV per atom


5.
The following is a PBE calculation of SrTc2SnAu after structural relaxation, from Alexandria via LeMat-Bulk.

```
data_SrTc2SnAu
_symmetry_space_group_name_H-M 'P 1'
_symmetry_Int_Tables_number 1
_symmetry_space_group_name_Hall 'P 1'
_cell_length_a 5.0160
_cell_length_b 5.0160
_cell_length_c 5.4176
_cell_angle_alpha 90.00
_cell_angle_beta 90.00
_cell_angle_gamma 90.00
loop_
_atom_site_label
_atom_site_fract_x
_atom_site_fract_y
_atom_site_fract_z
_atom_site_occupancy
Sr1 0.0000 0.0000 0.0000 1
Tc1 0.0000 0.5000 0.0000 1
Tc2 0.5000 0.0000 0.0000 1
Sn1 0.5000 0.5000 0.5000 1
Au1 0.0000 0.0000 0.5000 1
```

Calculated volume: 27.3 A^3/atom
Energy above the lowest structure with this stoichiometry: 890 meV/atom
DFT formation energy: 10.54 eV per formula unit
SG: P4/mmm, No. 123


6.
The following is a PBE calculation of Ca2SiN2 after structural relaxation, from Alexandria via LeMat-Bulk.

```
data_Ca2SiN2
_symmetry_space_group_name_H-M 'P 1'
_symmetry_Int_Tables_number 1
_symmetry_space_group_name_Hall 'P 1'
_cell_length_a 6.2119
_cell_length_b 6.2119
_cell_length_c 3.4753
_cell_angle_alpha 90.00
_cell_angle_beta 90.00
_cell_angle_gamma 90.00
loop_
_atom_site_label
_atom_site_fract_x
_atom_site_fract_y
_atom_site_fract_z
_atom_site_occupancy
Ca1 0.1472 0.3528 0.0000 1
Ca2 0.3528 0.8528 0.0000 1
Ca3 0.6472 0.1472 0.0000 1
Ca4 0.8528 0.6472 0.0000 1
Si1 0.0000 0.0000 0.5000 1
Si2 0.5000 0.5000 0.5000 1
N1 0.1777 0.6777 0.5000 1
N2 0.3223 0.1777 0.5000 1
N3 0.6777 0.8223 0.5000 1
N4 0.8223 0.3223 0.5000 1
```

Calculated volume: 13.4 A^3/atom
Energy above the lowest structure with this stoichiometry: 349 meV/atom
SG: P4/mbm, No. 127
Formation energy from raw total energies: -0.29 eV per atom


7.
The following is a PBE calculation of Tm5Ag2Bi after structural relaxation, from Alexandria via LeMat-Bulk.

```
data_Tm5Ag2Bi
_symmetry_space_group_name_H-M 'P 1'
_symmetry_Int_Tables_number 1
_symmetry_space_group_name_Hall 'P 1'
_cell_length_a 8.6580
_cell_length_b 8.6580
_cell_length_c 8.6580
_cell_angle_alpha 124.50
_cell_angle_beta 124.50
_cell_angle_gamma 82.37
loop_
_atom_site_label
_atom_site_fract_x
_atom_site_fract_y
_atom_site_fract_z
_atom_site_occupancy
Tm1 0.0000 0.0000 0.0000 1
Tm2 0.0065 0.5065 0.8048 1
Tm3 0.2017 0.0065 0.5000 1
Tm4 0.2983 0.7983 0.8048 1
Tm5 0.4935 0.2983 0.5000 1
Tm6 0.5000 0.5000 0.0000 1
Tm7 0.5065 0.7017 0.5000 1
Tm8 0.7017 0.2017 0.1952 1
Tm9 0.7983 0.9935 0.5000 1
Tm10 0.9935 0.4935 0.1952 1
Ag1 0.1368 0.3632 0.5000 1
Ag2 0.3632 0.8632 0.2264 1
Ag3 0.6368 0.1368 0.7736 1
Ag4 0.8632 0.6368 0.5000 1
Bi1 0.2500 0.2500 0.0000 1
Bi2 0.7500 0.7500 0.0000 1
```

Calculated volume: 26.5 A^3/atom
DFT formation energy: -2.92 eV per formula unit
SG: I4/mcm, No. 140


8.
The following is a PBE calculation of SmSe3O9 after structural relaxation, from Alexandria via LeMat-Bulk.

```
data_SmSe3O9
_symmetry_space_group_name_H-M 'P 1'
_symmetry_Int_Tables_number 1
_symmetry_space_group_name_Hall 'P 1'
_cell_length_a 8.4830
_cell_length_b 8.4830
_cell_length_c 10.4921
_cell_angle_alpha 121.64
_cell_angle_beta 121.64
_cell_angle_gamma 59.56
loop_
_atom_site_label
_atom_site_fract_x
_atom_site_fract_y
_atom_site_fract_z
_atom_site_occupancy
Sm1 0.2371 0.7629 0.5000 1
Sm2 0.7629 0.2371 0.0000 1
Se1 0.0204 0.2653 0.8011 1
Se2 0.2653 0.0204 0.3011 1
Se3 0.2983 0.3818 0.6365 1
Se4 0.3818 0.2983 0.1365 1
Se5 0.7095 0.7738 0.2490 1
Se6 0.7738 0.7095 0.7490 1
O1 0.0698 0.1789 0.2105 1
O2 0.1750 0.4033 0.9687 1
O3 0.1789 0.0698 0.7105 1
O4 0.1789 0.9617 0.3767 1
O5 0.3064 0.5676 0.6253 1
O6 0.3293 0.4991 0.2910 1
O7 0.4033 0.1750 0.4687 1
O8 0.4991 0.3293 0.7910 1
O9 0.5432 0.7962 0.6354 1
O10 0.5612 0.7665 0.3099 1
O11 0.5676 0.3064 0.1253 1
O12 0.5829 0.9286 0.1544 1
O13 0.7665 0.5612 0.8099 1
O14 0.7962 0.5432 0.1354 1
O15 0.8319 0.9021 0.9098 1
O16 0.9021 0.8319 0.4098 1
O17 0.9286 0.5829 0.6544 1
O18 0.9617 0.1789 0.8767 1
```

Calculated volume: 19.9 A^3/atom
SG: Cc, No. 9
Formation energy from raw total energies: -1.16 eV per atom